Computed, not measured: a relaxed structure of CdCo2Si2 at the PBE level of DFT.

Output
Its density is 7.4 Mg/m³. As for the formation energy from raw total energies: -0.169 eV per atom.

Cell lengths 6.901, 6.901, 2.710 Å; angles 90.00, 90.00, 90.00 degrees
Atoms (fractional coordinates):
Cd 0.000 0.000 0.000
Cd 0.500 0.500 0.000
Co 0.142 0.358 0.000
Co 0.358 0.858 0.000
Co 0.642 0.142 0.000
Co 0.858 0.642 0.000
Si 0.146 0.646 0.500
Si 0.354 0.146 0.500
Si 0.646 0.854 0.500
Si 0.854 0.354 0.500